Computed, not measured: a relaxed structure of Th2Ta3Ge4 at the PBE level of DFT.

Calculated values
The energy of formation comes out at -0.55 eV per atom. The energy is -8.207 eV/atom. The density of states at the Fermi level comes out at 0.40 states/eV per atom.

Structure (CIF):
```
data_Th2Ta3Ge4
_cell_length_a 7.294
_cell_length_b 7.291
_cell_length_c 7.223
_cell_angle_alpha 90.00
_cell_angle_beta 109.82
_cell_angle_gamma 90.00
_space_group_name_H-M_alt 'P 1 21/c 1'
_space_group_IT_number 14
loop_
_space_group_symop_operation_xyz
'x,y,z'
'-x,-y,-z'
'-x,y+1/2,-z+1/2'
'x,-y+1/2,z+1/2'
loop_
_atom_site_label
_atom_site_fract_x
_atom_site_fract_y
_atom_site_fract_z
Th1 0.189 0.172 0.056
Ta1 0.254 0.662 0.247
Ta2 0.500 0.000 0.500
Ge1 0.092 0.549 0.858
Ge2 0.495 0.635 0.632
```


Computed, not measured: a relaxed structure of Ba2SrAlO5 at the PBE level of DFT.

Calculated values
The energy is -6.274 eV/atom. Its uncorrected formation energy is -2.489 eV/atom. The density of states at the Fermi level comes out at 0.59 states/eV per atom.

Structure (CIF):
```
data_Ba2SrAlO5
_cell_length_a 3.731
_cell_length_b 13.600
_cell_length_c 12.362
_cell_angle_alpha 90.00
_cell_angle_beta 90.00
_cell_angle_gamma 90.00
_space_group_name_H-M_alt 'C m c 21'
_space_group_IT_number 36
loop_
_space_group_symop_operation_xyz
'x,y,z'
'-x,-y,z+1/2'
'-x,y,z'
'x,-y,z+1/2'
'x+1/2,y+1/2,z'
'-x+1/2,-y+1/2,z+1/2'
'-x+1/2,y+1/2,z'
'x+1/2,-y+1/2,z+1/2'
loop_
_atom_site_label
_atom_site_fract_x
_atom_site_fract_y
_atom_site_fract_z
Ba1 0.000 0.080 0.000
Ba2 0.000 0.164 0.649
Sr1 0.000 0.205 0.367
Al1 0.000 0.482 0.752
O1 0.000 0.024 0.296
O2 0.000 0.268 0.002
O3 0.000 0.345 0.746
O4 0.000 0.392 0.323
O5 0.000 0.481 0.112
```


- Number 1 is which compound?
  Th2Ta3Ge4